Run a
This record from Alexandria via LeMat-Bulk describes a relaxed Ba2CoW crystal. The functional is PBE-GGA.

For the density of states at the Fermi level, the calculation gives 19.55 states/eV per cell. As for the magnetization: 9.222 μB/cell.

It has space group I-42d (No. 122), with a = 11.838 Å, b = 11.838 Å, c = 4.521 Å, α = 90.00°, β = 90.00° and γ = 90.00°. The inequivalent atoms are Ba at (0.071, 0.250, 0.125), Co at (0.000, 0.000, 0.000) and W at (0.000, 0.000, 0.500).

***

Run b
This record from Alexandria via LeMat-Bulk describes a relaxed Ba2CoW crystal. The functional is PBE-GGA.

For the density of states at the Fermi level, the calculation gives 7.40 states/eV per cell. As for the magnetization: 4.637 μB/cell.

It has space group P4/mmm (No. 123), with a = 3.813 Å, b = 3.813 Å, c = 8.039 Å, α = 90.00°, β = 90.00° and γ = 90.00°. The inequivalent atoms are Ba at (0.000, 0.000, 0.236), Co at (0.500, 0.500, 0.000) and W at (0.500, 0.500, 0.500).

***

Run c
This record from Alexandria via LeMat-Bulk describes a relaxed Ba2CoW crystal. The functional is PBE-GGA.

For the density of states at the Fermi level, the calculation gives 4.10 states/eV per cell. As for the magnetization: 0.000 μB/cell.

It has space group Pm (No. 6), with a = 3.381 Å, b = 3.443 Å, c = 10.041 Å, α = 90.00°, β = 99.52° and γ = 90.00°. The inequivalent atoms are Ba at (0.000, 0.000, 0.000), Ba at (0.211, 0.500, 0.406), Co at (0.374, 0.500, 0.739) and W at (0.845, 0.000, 0.681).

***

Consider the structures shown above. The least stable of them is run b.